# 1
Here is an optimized crystal structure of LiErSeO from OQMD. Energies are from PBE.

abc: 4.0536 6.4766 6.3703
angles: 90.00 90.00 90.00
Last column: nearest neighbours and their distance in Å.
Positions (direct):
Li 0.0000 0.2201 0.0000  2 O 2.28
Li 0.0000 0.7799 0.5000  2 O 2.28
Er 0.5000 0.3615 0.4101  2 O 2.09-2.12
Er 0.5000 0.6385 0.9101  2 O 2.09-2.12
Se 0.0000 0.1637 0.6036  2 Li 2.55-2.57, 2 Er 2.70
Se 0.0000 0.8363 0.1036  2 Li 2.55-2.57, 2 Er 2.70
O 0.5000 0.3608 0.0774  2 Er 2.09-2.12, 2 Li 2.28
O 0.5000 0.6392 0.5774  2 Er 2.09-2.12, 2 Li 2.28

Raw total energy   -5.83 eV/atom

***

# 2
Here is an optimized crystal structure of LiErSeO from OQMD. Energies are from PBE.

abc: 6.3216 7.2169 6.1977
angles: 90.00 102.01 90.00
Last column: nearest neighbours and their distance in Å.
Positions (direct):
Li 0.1139 0.2376 0.4711  1 O 2.00
Li 0.1139 0.2624 0.9711  1 O 2.00
Li 0.8861 0.7376 0.0289  1 O 2.00
Li 0.8861 0.7624 0.5289  1 O 2.00
Er 0.4381 0.6185 0.7630  3 O 2.18-2.24
Er 0.4381 0.8815 0.2630  3 O 2.18-2.24
Er 0.5619 0.1185 0.7370  3 O 2.18-2.24
Er 0.5619 0.3815 0.2370  3 O 2.18-2.24
Se 0.1740 0.5728 0.3178  3 Li 2.56-2.81, 1 Er 2.85
Se 0.1740 0.9272 0.8178  3 Li 2.56-2.81, 1 Er 2.85
Se 0.8260 0.0728 0.1822  3 Li 2.56-2.81, 1 Er 2.85
Se 0.8260 0.4272 0.6822  3 Li 2.56-2.81, 1 Er 2.85
O 0.3942 0.1629 0.3958  1 Li 2.00, 2 Er 2.18-2.23
O 0.3942 0.3371 0.8958  1 Li 2.00, 2 Er 2.18-2.23
O 0.6058 0.6629 0.1042  1 Li 2.00, 2 Er 2.18-2.23
O 0.6058 0.8371 0.6042  1 Li 2.00, 2 Er 2.18-2.23

Raw total energy   -6.05 eV/atom